# 1
Material: Mg6NiHg2
Method: DFT, PBE
State: relaxed

Cell and atoms, written as POSCAR:
```
Mg6NiHg2
1.0
7.740 0.000 0.000
-3.870 6.703 0.000
0.000 0.000 3.516
Mg Ni Hg
6 1 2
direct
0.000 0.375 0.000 Mg
0.000 0.751 0.500 Mg
0.249 0.249 0.500 Mg
0.375 0.000 0.000 Mg
0.625 0.625 0.000 Mg
0.751 0.000 0.500 Mg
0.000 0.000 0.000 Ni
0.333 0.667 0.500 Hg
0.667 0.333 0.500 Hg
```

Output
* total moment: 0.0 μB/f.u.
* V: 182 Å³ per cell
* uncorrected energy: -17.7 eV/f.u.
* formation energy: -167 kJ/mol of formula units
* N(E_F): 2.31 states/eV per cell
* space group: No. 189

# 2
Material: AcPrInCu
Method: DFT, PBE
State: relaxed

Cell and atoms, written as POSCAR:
```
AcPrInCu
1.0
0.000 3.897 3.897
3.897 0.000 3.897
3.897 3.897 0.000
Ac Pr In Cu
1 1 1 1
direct
0.000 0.000 0.000 Ac
0.500 0.500 0.500 Pr
0.750 0.750 0.750 In
0.250 0.250 0.250 Cu
```

Output
* total moment: 0.0 μB/f.u.
* V: 118 Å³ per cell
* uncorrected energy: -16.6 eV/f.u.
* formation energy: -81 kJ/mol of formula units
* N(E_F): 4.51 states/eV per cell
* space group: No. 216